First-principles (GGA-PBE) data for crystalline Be2CuRh at its relaxed geometry, as listed in Alexandria.

The density of states at the Fermi level is 1.00 states/eV per cell. As for the crystal system: tetragonal. As for the formation energy: -448 meV/atom.

abc: 3.8085 3.8085 2.8435
angles: 90.00 90.00 90.00
Last column: nearest neighbours and their distance in Å.
Element x y z (fractional)
Be 0.0000 0.5000 0.0000  4 Cu 2.38, 4 Rh 2.38
Be 0.5000 0.0000 0.0000  4 Cu 2.38, 4 Rh 2.38
Cu 0.0000 0.0000 0.5000  8 Be 2.38
Rh 0.5000 0.5000 0.5000  8 Be 2.38